[1]
## SrLi2Co (PBE)

Data for a relaxed structure of SrLi2Co.

Unit cell a=3.497 b=3.516 c=7.274 alpha=90.00 beta=90.00 gamma=90.00
Positions (direct):
Sr 0.000 0.000 0.000
Li 0.000 0.000 0.416
Li 0.500 0.500 0.616
Co 0.500 0.500 0.261

Properties
E   -11.15 eV/f.u.
Calculated formation energy   0.367 eV/atom
D(E_F)   1.664 states/eV per atom
SG   Pmm2 (25)
Magnetic moment   0.979 μB/cell
Crystal system   orthorhombic
Offset from the most stable computed form   27.1 meV/atom

***

[2]
## Pm7NdIn2 (PBE)

Data for a relaxed structure of Pm7NdIn2.

Unit cell a=9.162 b=9.162 c=5.517 alpha=90.00 beta=90.00 gamma=118.90
Positions (direct):
Pm 0.000 0.000 0.000
Pm 0.197 0.440 0.000
Pm 0.273 0.727 0.500
Pm 0.440 0.197 0.000
Pm 0.560 0.803 0.000
Pm 0.727 0.273 0.500
Pm 0.803 0.560 0.000
Nd 0.500 0.500 0.500
In 0.196 0.804 0.000
In 0.804 0.196 0.000

Properties
E   -40.33 eV/f.u.
Calculated formation energy   0.317 eV/atom
D(E_F)   2.012 states/eV per atom
SG   Cmmm (65)
Magnetic moment   0.001 μB/cell
Crystal system   orthorhombic

***

[3]
## SmYBi2O6 (PBE)

Data for a relaxed structure of SmYBi2O6.

Unit cell a=6.211 b=6.211 c=6.211 alpha=58.62 beta=58.62 gamma=58.62
Positions (direct):
Sm 0.000 0.000 0.000
Y 0.497 0.497 0.497
Bi 0.284 0.284 0.284
Bi 0.785 0.785 0.785
O 0.124 0.674 0.367
O 0.182 0.622 0.857
O 0.367 0.124 0.674
O 0.622 0.857 0.182
O 0.674 0.367 0.124
O 0.857 0.182 0.622

Properties
E   -71.97 eV/f.u.
D(E_F)   0.000 states/eV per atom
SG   R3 (146)
Magnetic moment   0.000 μB/cell
Crystal system   trigonal
Energy relative to the elements, uncorrected   -2.33 eV per atom

***

[4]
## CuSb (PBE)

Data for a relaxed structure of CuSb.

Unit cell a=3.184 b=3.184 c=3.854 alpha=90.00 beta=90.00 gamma=90.00
Positions (direct):
Cu 0.000 0.000 0.000
Sb 0.500 0.500 0.500

Properties
E   -7.64 eV/f.u.
D(E_F)   0.399 states/eV per atom
SG   P4/mmm (123)
Magnetic moment   0.000 μB/cell
Crystal system   tetragonal
Energy relative to the elements, uncorrected   0.29 eV per atom